The following is a PBE calculation of a geometry-optimized Pm2TlCu2 structure, from the Alexandria database. Values from VASP.

Geometry as Quantum ESPRESSO input:
```
&SYSTEM
  ibrav = 0, nat = 10, ntyp = 3
/
ATOMIC_SPECIES
Pm 145.00 Pm.upf
Tl 204.38 Tl.upf
Cu 63.55 Cu.upf
ATOMIC_POSITIONS angstrom
Pm 1.9142 1.3557 5.2418
Pm 1.9142 2.5304 1.3557
Pm 1.9142 6.4164 2.5304
Pm 1.9142 5.2418 6.4164
Tl 0.0000 3.8861 3.8861
Tl 0.0000 0.0000 0.0000
Cu 0.0000 0.9044 2.9817
Cu 0.0000 2.9817 6.8677
Cu 0.0000 4.7905 0.9044
Cu 0.0000 6.8677 4.7905
CELL_PARAMETERS angstrom
3.8284 0.0000 0.0000
0.0000 7.7721 0.0000
0.0000 0.0000 7.7721
```

Output
For the formation energy, the calculation gives -286.4 meV per atom. The density comes out at 8.925 g cm⁻³.


The following is a PBE calculation of a geometry-optimized PmTlCu4 structure, from the Alexandria database. Values from VASP.

Geometry as Quantum ESPRESSO input:
```
&SYSTEM
  ibrav = 0, nat = 6, ntyp = 3
/
ATOMIC_SPECIES
Cu 63.55 Cu.upf
Tl 204.38 Tl.upf
Pm 145.00 Pm.upf
ATOMIC_POSITIONS angstrom
Cu 5.2191 1.5024 2.6649
Cu 6.5275 3.7687 2.6649
Cu 3.9107 3.7687 2.6649
Cu 5.2191 3.0133 0.5282
Tl 0.0000 0.0000 0.0000
Pm 2.6096 1.5066 1.0653
CELL_PARAMETERS angstrom
5.2191 0.0000 0.0000
2.6096 4.5199 0.0000
2.6096 1.5066 4.2614
```

Output
For the formation energy, the calculation gives -159.5 meV per atom. The density comes out at 9.970 g cm⁻³.


The following is a PBE calculation of a geometry-optimized Pm4TlCu3 structure, from the Alexandria database. Values from VASP.

Geometry as Quantum ESPRESSO input:
```
&SYSTEM
  ibrav = 0, nat = 8, ntyp = 3
/
ATOMIC_SPECIES
Pm 145.00 Pm.upf
Cu 63.55 Cu.upf
Tl 204.38 Tl.upf
ATOMIC_POSITIONS angstrom
Pm 1.9197 2.3223 4.1702
Pm 1.9197 0.0000 7.1684
Pm 0.0000 2.3223 9.4034
Pm 0.0000 0.0000 1.8213
Cu 0.0000 0.0000 4.9321
Cu 1.9197 0.0000 10.2851
Cu 0.0000 2.3223 6.3644
Tl 1.9197 2.3223 0.7923
CELL_PARAMETERS angstrom
3.8394 0.0000 0.0000
0.0000 4.6447 0.0000
0.0000 0.0000 11.2343
```

Output
For the formation energy, the calculation gives -180.8 meV per atom. The density comes out at 8.082 g cm⁻³. The calculation puts the energy above the most stable polymorph in this dataset at 13 meV per atom.


The following is a PBE calculation of a geometry-optimized Pm6TlCu5 structure, from the Alexandria database. Values from VASP.

Geometry as Quantum ESPRESSO input:
```
&SYSTEM
  ibrav = 0, nat = 12, ntyp = 3
/
ATOMIC_SPECIES
Cu 63.55 Cu.upf
Pm 145.00 Pm.upf
Tl 204.38 Tl.upf
ATOMIC_POSITIONS angstrom
Cu 1.0460 3.6623 5.0145
Cu 3.0199 0.0015 1.8770
Cu -0.0016 3.6614 -0.0004
Cu 3.0264 3.6629 1.9576
Cu 1.0525 7.3237 5.0951
Pm 2.4986 1.9564 -0.5194
Pm 0.5500 1.8716 2.5922
Pm 3.5240 1.8731 4.3803
Pm 1.5738 5.3688 7.4915
Pm 3.5224 5.4536 4.3799
Pm 0.5484 5.4521 2.5918
Tl 0.0000 0.0000 0.0000
CELL_PARAMETERS angstrom
4.9988 0.0021 -1.0384
-0.0032 7.3228 -0.0007
-0.9232 0.0004 8.0113
```

Output
For the formation energy, the calculation gives -175.0 meV per atom. The density comes out at 8.076 g cm⁻³.


The following is a PBE calculation of a geometry-optimized Pm5TlCu4 structure, from the Alexandria database. Values from VASP.

Geometry as Quantum ESPRESSO input:
```
&SYSTEM
  ibrav = 0, nat = 10, ntyp = 3
/
ATOMIC_SPECIES
Pm 145.00 Pm.upf
Cu 63.55 Cu.upf
Tl 204.38 Tl.upf
ATOMIC_POSITIONS angstrom
Pm 1.7946 1.7946 5.7509
Pm 1.7946 1.7946 16.4082
Pm 1.7946 1.7946 12.8679
Pm 1.7946 1.7946 2.2106
Pm 1.7946 1.7946 9.3094
Cu 0.0000 0.0000 7.5254
Cu 0.0000 0.0000 4.0254
Cu 0.0000 0.0000 14.5934
Cu 0.0000 0.0000 11.0934
Tl 0.0000 0.0000 0.0000
CELL_PARAMETERS angstrom
3.5892 0.0000 0.0000
0.0000 3.5892 0.0000
0.0000 0.0000 18.6188
```

Output
For the formation energy, the calculation gives -198.8 meV per atom. The density comes out at 8.194 g cm⁻³.


The following is a PBE calculation of a geometry-optimized Pm2TlCu3 structure, from the Alexandria database. Values from VASP.

Geometry as Quantum ESPRESSO input:
```
&SYSTEM
  ibrav = 0, nat = 12, ntyp = 3
/
ATOMIC_SPECIES
Cu 63.55 Cu.upf
Tl 204.38 Tl.upf
Pm 145.00 Pm.upf
ATOMIC_POSITIONS angstrom
Cu 1.0169 -3.1765 -3.0647
Cu -3.4207 -2.3598 -1.8020
Cu 2.0755 -6.2115 2.6185
Cu -2.3621 -5.3947 3.8812
Cu -0.0550 -2.2268 1.2470
Cu -1.2902 -6.3445 -0.4305
Tl -0.1142 -4.6242 2.5897
Tl -1.2310 -3.9470 -1.7732
Pm -1.7930 -2.5579 -4.6466
Pm -2.8092 -3.8924 1.0162
Pm -0.5569 -0.7945 -1.4432
Pm 1.4639 -4.6789 -0.1997
CELL_PARAMETERS angstrom
-5.4481 -0.8897 -1.8290
3.0982 -2.4627 -4.2608
1.0047 -5.2189 6.9063
```

Output
For the formation energy, the calculation gives -176.7 meV per atom. The density comes out at 8.693 g cm⁻³.


The following is a PBE calculation of a geometry-optimized PmYTlCu structure, from the Alexandria database. Values from VASP.

Geometry as Quantum ESPRESSO input:
```
&SYSTEM
  ibrav = 0, nat = 4, ntyp = 4
/
ATOMIC_SPECIES
Tl 204.38 Tl.upf
Pm 145.00 Pm.upf
Cu 63.55 Cu.upf
Y 88.91 Y.upf
ATOMIC_POSITIONS angstrom
Tl 0.0000 0.0000 0.0000
Pm -1.3224 -2.5441 -1.4598
Cu -2.6448 -5.0881 -2.9196
Y -3.9672 -7.6322 -4.3794
CELL_PARAMETERS angstrom
-4.3161 -1.8134 -2.3850
0.4339 -3.3344 -4.0372
-1.4074 -5.0284 0.5829
```

Output
For the formation energy, the calculation gives -243.1 meV per atom. The density comes out at 8.125 g cm⁻³.


The following is a PBE calculation of a geometry-optimized PmTlZnCu structure, from the Alexandria database. Values from VASP.

Geometry as Quantum ESPRESSO input:
```
&SYSTEM
  ibrav = 0, nat = 4, ntyp = 4
/
ATOMIC_SPECIES
Zn 65.41 Zn.upf
Pm 145.00 Pm.upf
Tl 204.38 Tl.upf
Cu 63.55 Cu.upf
ATOMIC_POSITIONS angstrom
Zn 7.3634 4.2513 3.0061
Pm 0.0000 0.0000 0.0000
Tl 4.9089 2.8342 2.0041
Cu 2.4545 1.4171 1.0020
CELL_PARAMETERS angstrom
4.9089 0.0000 0.0000
2.4545 4.2513 0.0000
2.4545 1.4171 4.0081
```

Output
For the formation energy, the calculation gives -185.9 meV per atom. The density comes out at 9.496 g cm⁻³.


The following is a PBE calculation of a geometry-optimized Pm4TlZn2Cu structure, from the Alexandria database. Values from VASP.

Geometry as Quantum ESPRESSO input:
```
&SYSTEM
  ibrav = 0, nat = 8, ntyp = 4
/
ATOMIC_SPECIES
Zn 65.41 Zn.upf
Pm 145.00 Pm.upf
Cu 63.55 Cu.upf
Tl 204.38 Tl.upf
ATOMIC_POSITIONS angstrom
Zn 1.5782 -3.2483 0.5685
Zn 4.8294 -9.8503 1.9871
Pm 3.8895 -8.8068 -0.8043
Pm 2.5182 -4.2918 3.3599
Pm 4.1188 -7.5650 3.9948
Pm 2.2889 -5.5336 -1.4392
Cu 3.2038 -6.5493 1.2778
Tl 0.0000 0.0000 0.0000
CELL_PARAMETERS angstrom
-0.9141 -4.9098 -1.5276
3.7831 -2.7641 -2.3072
3.5387 -5.4247 6.3904
```

Output
For the formation energy, the calculation gives -270.6 meV per atom. The density comes out at 8.015 g cm⁻³.


The following is a PBE calculation of a geometry-optimized PmTm2Cu3 structure, from the Alexandria database. Values from VASP.

Geometry as Quantum ESPRESSO input:
```
&SYSTEM
  ibrav = 0, nat = 6, ntyp = 3
/
ATOMIC_SPECIES
Cu 63.55 Cu.upf
Tm 168.93 Tm.upf
Pm 145.00 Pm.upf
ATOMIC_POSITIONS angstrom
Cu -2.0898 6.6388 1.6490
Cu -0.9707 3.0837 0.7660
Cu 0.0000 0.0000 0.0000
Tm 0.6760 1.4124 2.5243
Tm -1.3938 7.9878 4.1575
Pm -0.3589 4.7001 3.3409
CELL_PARAMETERS angstrom
-0.8460 -1.0546 3.1735
3.1887 0.7322 1.0933
-3.0605 9.7225 2.4150
```

Output
For the formation energy, the calculation gives -250.6 meV per atom. The density comes out at 8.973 g cm⁻³.


The following is a PBE calculation of a geometry-optimized Pm3TmCu4 structure, from the Alexandria database. Values from VASP.

Geometry as Quantum ESPRESSO input:
```
&SYSTEM
  ibrav = 0, nat = 8, ntyp = 3
/
ATOMIC_SPECIES
Cu 63.55 Cu.upf
Pm 145.00 Pm.upf
Tm 168.93 Tm.upf
ATOMIC_POSITIONS angstrom
Cu -4.6012 0.5384 7.5751
Cu -2.7452 0.3212 4.5196
Cu -0.8214 0.0961 1.3522
Cu -6.5250 0.7635 10.7424
Pm -5.8391 -1.8211 9.1263
Pm -3.9671 -2.0402 6.0444
Pm -2.0951 -2.2593 2.9624
Tm -0.2939 -2.4700 -0.0029
CELL_PARAMETERS angstrom
-2.4009 -2.2178 -1.3007
1.8131 -2.7223 1.2948
-7.3464 0.8597 12.0947
```

Output
For the formation energy, the calculation gives -195.5 meV per atom. The density comes out at 8.122 g cm⁻³.


The following is a PBE calculation of a geometry-optimized PmTmCu2 structure, from the Alexandria database. Values from VASP.

Geometry as Quantum ESPRESSO input:
```
&SYSTEM
  ibrav = 0, nat = 4, ntyp = 3
/
ATOMIC_SPECIES
Cu 63.55 Cu.upf
Tm 168.93 Tm.upf
Pm 145.00 Pm.upf
ATOMIC_POSITIONS angstrom
Cu 0.1809 -5.3893 -7.3127
Cu 0.0603 -1.7964 -2.4376
Tm 0.0000 0.0000 0.0000
Pm 0.1206 -3.5929 -4.8752
CELL_PARAMETERS angstrom
-1.6492 -0.5869 -4.6256
2.9122 -2.0701 -3.4197
-1.0218 -4.5287 -1.7051
```

Output
For the formation energy, the calculation gives -213.7 meV per atom. The density comes out at 8.561 g cm⁻³. The calculation puts the energy above the most stable polymorph in this dataset at 17 meV per atom.


Number 1: total magnetic moment 0.000 μB per atom. Number 2: total magnetic moment 0.000 μB per atom. Number 3: total magnetic moment 0.000 μB per atom. Number 4: total magnetic moment 0.000 μB per atom. Number 5: total magnetic moment 0.060 μB per atom. Number 6: total magnetic moment 0.000 μB per atom. Number 7: total magnetic moment 0.037 μB per atom. Number 8: total magnetic moment 0.000 μB per atom. Number 9: total magnetic moment 0.002 μB per atom. Number 10: total magnetic moment 0.000 μB per atom. Number 11: total magnetic moment 0.000 μB per atom. Number 12: total magnetic moment 0.000 μB per atom.